Entry 1:
Below is a relaxed structure of V3Ir6W, with properties calculated at the GGA-PBE level.

It has space group P2_1/m (No. 11), with a = 7.275 Å, b = 4.394 Å, c = 9.477 Å, α = 90.00°, β = 109.21° and γ = 90.00°. The distinct sites, in fractional coordinates, are V at (0.087, 0.250, 0.232), V at (0.301, 0.250, 0.035), V at (0.306, 0.750, 0.363), Ir at (0.095, 0.250, 0.735), Ir at (0.109, 0.750, 0.071), Ir at (0.297, 0.250, 0.527), Ir at (0.306, 0.750, 0.872), Ir at (0.490, 0.250, 0.328), Ir at (0.498, 0.250, 0.830) and W at (0.101, 0.750, 0.569).

The value obtained for the size of the total moment is 0.99 Bohr magnetons per cell. For the formation enthalpy at 0 K, the calculation gives -433 meV/atom. The mass density comes out at 17.3 g/cm³. For the density of states at the Fermi level, the calculation gives 0.946 states/eV/atom.

=====

Entry 2:
Below is a relaxed structure of VIrW3, with properties calculated at the GGA-PBE level.

It has space group Pm-3m (No. 221), with a = 4.445 Å, b = 4.445 Å, c = 4.445 Å, α = 90.00°, β = 90.00° and γ = 90.00°. The distinct sites, in fractional coordinates, are V at (0.000, 0.000, 0.000), Ir at (0.500, 0.500, 0.500) and W at (0.000, 0.000, 0.500).

The value obtained for the size of the total moment is 0.00 Bohr magnetons per cell. For the energy above the most stable polymorph in this dataset, the calculation gives 0 meV/atom. For the formation enthalpy at 0 K, the calculation gives 1639 meV/atom. The mass density comes out at 15.0 g/cm³. For the density of states at the Fermi level, the calculation gives 1.118 states/eV/atom.